# Rb2MgZn3F12

A relaxed structure of Rb2MgZn3F12 (PBE-GGA, Alexandria via LeMat-Bulk).

Cell lengths 7.4138, 7.4138, 17.7206 Å; angles 90.00, 90.00, 120.00 degrees
Last column: nearest neighbours and their distance in Å.
Space group R-3m (No. 166, hexagonal axes)
Symmetry-distinct sites (fractional):
1 Rb 0.0000 0.0000 0.1271 [6 per cell]  6 F 3.11-3.18
2 Mg 0.0000 0.0000 0.5000 [3 per cell]  6 F 2.00
3 Zn 0.0000 0.5000 0.0000 [9 per cell]  6 F 1.96-2.00
4 F 0.0675 0.5337 0.1079 [18 per cell]  1 Zn 1.96, 1 Mg 2.00
5 F 0.0701 0.5350 0.3565 [18 per cell]  2 Zn 2.00

## Properties
The formation energy from raw total energies comes out at -232.4 kJ per mole of atoms.